w:
Below is a geometry-optimized LuZnCuAs structure, with properties calculated at the GGA-PBE level.

Summary:
Spin magnetization   0.000 μB per atom

a = 4.674 Å, b = 4.674 Å, c = 4.674 Å
α = 60.00°, β = 60.00°, γ = 60.00°
Element x y z (fractional)
Cu (0.750, 0.750, 0.750)
Zn (0.250, 0.250, 0.250)
Lu (0.500, 0.500, 0.500)
As (0.000, 0.000, 0.000)

x:
Below is a geometry-optimized LuZnCuAs structure, with properties calculated at the GGA-PBE level.

Summary:
Spin magnetization   0.009 μB per atom

a = 4.669 Å, b = 4.669 Å, c = 4.669 Å
α = 60.00°, β = 60.00°, γ = 60.00°
Element x y z (fractional)
As (0.000, 0.000, 0.000)
Lu (0.250, 0.250, 0.250)
Zn (0.500, 0.500, 0.500)
Cu (0.750, 0.750, 0.750)

Result of the stability comparison: w is the least stable of them.

w:
Below is a geometry-optimized MgScCuAs structure, with properties calculated at the GGA-PBE level.

Summary:
Spin magnetization   0.000 μB per atom

a = 4.701 Å, b = 4.701 Å, c = 4.701 Å
α = 60.00°, β = 60.00°, γ = 60.00°
Element x y z (fractional)
Sc (0.750, 0.750, 0.750)
Mg (0.000, 0.000, 0.000)
Cu (0.500, 0.500, 0.500)
As (0.250, 0.250, 0.250)

x:
Below is a geometry-optimized MgScCuAs structure, with properties calculated at the GGA-PBE level.

Summary:
Spin magnetization   0.006 μB per atom

a = 4.651 Å, b = 4.651 Å, c = 4.651 Å
α = 60.00°, β = 60.00°, γ = 60.00°
Element x y z (fractional)
As (0.000, 0.000, 0.000)
Sc (0.250, 0.250, 0.250)
Cu (0.750, 0.750, 0.750)
Mg (0.500, 0.500, 0.500)

Result of the stability comparison: w is the least stable of them.

w:
Below is a geometry-optimized CuMoAsW structure, with properties calculated at the GGA-PBE level.

Summary:
Spin magnetization   0.004 μB per atom

a = 4.342 Å, b = 4.342 Å, c = 4.342 Å
α = 60.00°, β = 60.00°, γ = 60.00°
Element x y z (fractional)
Mo (0.000, 0.000, 0.000)
Cu (0.750, 0.750, 0.750)
As (0.250, 0.250, 0.250)
W (0.500, 0.500, 0.500)

x:
Below is a geometry-optimized CuMoAsW structure, with properties calculated at the GGA-PBE level.

Summary:
Spin magnetization   0.001 μB per atom

a = 4.400 Å, b = 4.400 Å, c = 4.400 Å
α = 60.00°, β = 60.00°, γ = 60.00°
Element x y z (fractional)
As (0.000, 0.000, 0.000)
Mo (0.250, 0.250, 0.250)
W (0.500, 0.500, 0.500)
Cu (0.750, 0.750, 0.750)

Result of the stability comparison: x is the least stable of them.

w:
Below is a geometry-optimized RbNaCuAs structure, with properties calculated at the GGA-PBE level.

a = 6.225 Å, b = 5.438 Å, c = 6.573 Å
α = 90.00°, β = 103.33°, γ = 90.00°
Element x y z (fractional)
Cu (0.000, 0.000, 0.000)
Cu (0.000, 0.500, 0.000)
Na (0.140, 0.250, 0.459)
Na (0.860, 0.750, 0.541)
As (0.198, 0.750, 0.272)
As (0.802, 0.250, 0.728)
Rb (0.556, 0.250, 0.194)
Rb (0.444, 0.750, 0.806)

x:
Below is a geometry-optimized RbNaCuAs structure, with properties calculated at the GGA-PBE level.

a = 5.899 Å, b = 6.170 Å, c = 6.170 Å
α = 74.68°, β = 90.00°, γ = 90.00°
Element x y z (fractional)
As (0.750, 0.733, 0.248)
As (0.250, 0.248, 0.733)
Rb (0.750, 0.983, 0.675)
Rb (0.250, 0.675, 0.983)
Na (0.750, 0.327, 0.015)
Na (0.250, 0.015, 0.327)
Cu (0.000, 0.510, 0.510)
Cu (0.500, 0.510, 0.510)

Result of the stability comparison: x is the least stable of them.

w:
Below is a geometry-optimized NbCuAsPd structure, with properties calculated at the GGA-PBE level.

Summary:
Spin magnetization   0.173 μB per atom

a = 4.498 Å, b = 4.498 Å, c = 4.498 Å
α = 60.00°, β = 60.00°, γ = 60.00°
Element x y z (fractional)
As (0.000, 0.000, 0.000)
Nb (0.500, 0.500, 0.500)
Pd (0.250, 0.250, 0.250)
Cu (0.750, 0.750, 0.750)

x:
Below is a geometry-optimized NbCuAsPd structure, with properties calculated at the GGA-PBE level.

Summary:
Spin magnetization   0.002 μB per atom

a = 4.448 Å, b = 4.448 Å, c = 4.448 Å
α = 60.00°, β = 60.00°, γ = 60.00°
Element x y z (fractional)
Pd (0.500, 0.500, 0.500)
Cu (0.750, 0.750, 0.750)
Nb (0.250, 0.250, 0.250)
As (0.000, 0.000, 0.000)

Result of the stability comparison: w is the least stable of them.

w:
Below is a geometry-optimized NbZnCuAs structure, with properties calculated at the GGA-PBE level.

Summary:
Spin magnetization   0.005 μB per atom

a = 4.439 Å, b = 4.439 Å, c = 4.439 Å
α = 60.00°, β = 60.00°, γ = 60.00°
Element x y z (fractional)
Nb (0.250, 0.250, 0.250)
Cu (0.750, 0.750, 0.750)
Zn (0.500, 0.500, 0.500)
As (0.000, 0.000, 0.000)

x:
Below is a geometry-optimized NbZnCuAs structure, with properties calculated at the GGA-PBE level.

Summary:
Spin magnetization   0.328 μB per atom

a = 4.511 Å, b = 4.511 Å, c = 4.511 Å
α = 60.00°, β = 60.00°, γ = 60.00°
Element x y z (fractional)
Zn (0.250, 0.250, 0.250)
Cu (0.750, 0.750, 0.750)
As (0.000, 0.000, 0.000)
Nb (0.500, 0.500, 0.500)

Result of the stability comparison: x is the least stable of them.

w:
Below is a geometry-optimized CuNiAsOs structure, with properties calculated at the GGA-PBE level.

Summary:
Spin magnetization   0.000 μB per atom

a = 4.202 Å, b = 4.202 Å, c = 4.202 Å
α = 60.00°, β = 60.00°, γ = 60.00°
Element x y z (fractional)
Ni (0.500, 0.500, 0.500)
Os (0.250, 0.250, 0.250)
As (0.000, 0.000, 0.000)
Cu (0.750, 0.750, 0.750)

x:
Below is a geometry-optimized CuNiAsOs structure, with properties calculated at the GGA-PBE level.

Summary:
Spin magnetization   0.140 μB per atom

a = 4.241 Å, b = 4.241 Å, c = 4.241 Å
α = 60.00°, β = 60.00°, γ = 60.00°
Element x y z (fractional)
As (0.000, 0.000, 0.000)
Cu (0.750, 0.750, 0.750)
Os (0.500, 0.500, 0.500)
Ni (0.250, 0.250, 0.250)

Result of the stability comparison: x is the least stable of them.

w:
Below is a geometry-optimized CuReNiAs structure, with properties calculated at the GGA-PBE level.

Summary:
Spin magnetization   0.001 μB per atom

a = 4.212 Å, b = 4.212 Å, c = 4.212 Å
α = 60.00°, β = 60.00°, γ = 60.00°
Element x y z (fractional)
Re (0.250, 0.250, 0.250)
Cu (0.750, 0.750, 0.750)
As (0.000, 0.000, 0.000)
Ni (0.500, 0.500, 0.500)

x:
Below is a geometry-optimized CuReNiAs structure, with properties calculated at the GGA-PBE level.

Summary:
Spin magnetization   0.474 μB per atom

a = 4.287 Å, b = 4.287 Å, c = 4.287 Å
α = 60.00°, β = 60.00°, γ = 60.00°
Element x y z (fractional)
Re (0.500, 0.500, 0.500)
Cu (0.750, 0.750, 0.750)
Ni (0.250, 0.250, 0.250)
As (0.000, 0.000, 0.000)

Result of the stability comparison: x is the least stable of them.

w:
Below is a geometry-optimized ScCuNiAs structure, with properties calculated at the GGA-PBE level.

Summary:
Spin magnetization   0.001 μB per atom

a = 4.358 Å, b = 4.358 Å, c = 4.358 Å
α = 60.00°, β = 60.00°, γ = 60.00°
Element x y z (fractional)
As (0.000, 0.000, 0.000)
Cu (0.500, 0.500, 0.500)
Sc (0.250, 0.250, 0.250)
Ni (0.750, 0.750, 0.750)

x:
Below is a geometry-optimized ScCuNiAs structure, with properties calculated at the GGA-PBE level.

Summary:
Spin magnetization   0.000 μB per atom

a = 4.344 Å, b = 4.344 Å, c = 4.344 Å
α = 60.00°, β = 60.00°, γ = 60.00°
Element x y z (fractional)
Ni (0.000, 0.000, 0.000)
As (0.250, 0.250, 0.250)
Cu (0.500, 0.500, 0.500)
Sc (0.750, 0.750, 0.750)

Result of the stability comparison: x is the least stable of them.

w:
Below is a geometry-optimized TaCuNiAs structure, with properties calculated at the GGA-PBE level.

Summary:
Spin magnetization   0.002 μB per atom

a = 4.304 Å, b = 4.304 Å, c = 4.304 Å
α = 60.00°, β = 60.00°, γ = 60.00°
Element x y z (fractional)
Ni (0.750, 0.750, 0.750)
As (0.000, 0.000, 0.000)
Cu (0.500, 0.500, 0.500)
Ta (0.250, 0.250, 0.250)

x:
Below is a geometry-optimized TaCuNiAs structure, with properties calculated at the GGA-PBE level.

Summary:
Spin magnetization   0.000 μB per atom

a = 4.322 Å, b = 4.322 Å, c = 4.322 Å
α = 60.00°, β = 60.00°, γ = 60.00°
Element x y z (fractional)
As (0.000, 0.000, 0.000)
Cu (0.750, 0.750, 0.750)
Ta (0.250, 0.250, 0.250)
Ni (0.500, 0.500, 0.500)

Result of the stability comparison: w is the least stable of them.

w:
Below is a geometry-optimized CuNiAsW structure, with properties calculated at the GGA-PBE level.

Summary:
Spin magnetization   0.344 μB per atom

a = 4.301 Å, b = 4.301 Å, c = 4.301 Å
α = 60.00°, β = 60.00°, γ = 60.00°
Element x y z (fractional)
Cu (0.750, 0.750, 0.750)
Ni (0.250, 0.250, 0.250)
W (0.500, 0.500, 0.500)
As (0.000, 0.000, 0.000)

x:
Below is a geometry-optimized CuNiAsW structure, with properties calculated at the GGA-PBE level.

Summary:
Spin magnetization   0.001 μB per atom

a = 4.259 Å, b = 4.259 Å, c = 4.259 Å
α = 60.00°, β = 60.00°, γ = 60.00°
Element x y z (fractional)
Cu (0.750, 0.750, 0.750)
W (0.250, 0.250, 0.250)
Ni (0.500, 0.500, 0.500)
As (0.000, 0.000, 0.000)

Result of the stability comparison: w is the least stable of them.

w:
Below is a geometry-optimized YCuNiAs structure, with properties calculated at the GGA-PBE level.

Summary:
Spin magnetization   0.001 μB per atom

a = 4.567 Å, b = 4.567 Å, c = 4.567 Å
α = 60.00°, β = 60.00°, γ = 60.00°
Element x y z (fractional)
Ni (0.500, 0.500, 0.500)
Cu (0.750, 0.750, 0.750)
Y (0.250, 0.250, 0.250)
As (0.000, 0.000, 0.000)

x:
Below is a geometry-optimized YCuNiAs structure, with properties calculated at the GGA-PBE level.

Summary:
Spin magnetization   0.000 μB per atom

a = 4.526 Å, b = 4.526 Å, c = 4.526 Å
α = 60.00°, β = 60.00°, γ = 60.00°
Element x y z (fractional)
Cu (0.250, 0.250, 0.250)
Ni (0.750, 0.750, 0.750)
As (0.000, 0.000, 0.000)
Y (0.500, 0.500, 0.500)

Result of the stability comparison: w is the least stable of them.

w:
Below is a geometry-optimized CuAsOsPb structure, with properties calculated at the GGA-PBE level.

Summary:
Spin magnetization   0.006 μB per atom

a = 4.651 Å, b = 4.651 Å, c = 4.651 Å
α = 60.00°, β = 60.00°, γ = 60.00°
Element x y z (fractional)
Cu (0.750, 0.750, 0.750)
As (0.250, 0.250, 0.250)
Pb (0.500, 0.500, 0.500)
Os (0.000, 0.000, 0.000)

x:
Below is a geometry-optimized CuAsOsPb structure, with properties calculated at the GGA-PBE level.

Summary:
Spin magnetization   0.001 μB per atom

a = 4.614 Å, b = 4.614 Å, c = 4.614 Å
α = 60.00°, β = 60.00°, γ = 60.00°
Element x y z (fractional)
As (0.000, 0.000, 0.000)
Cu (0.750, 0.750, 0.750)
Os (0.250, 0.250, 0.250)
Pb (0.500, 0.500, 0.500)

Result of the stability comparison: w is the least stable of them.

w:
Below is a geometry-optimized ScCuAsOs structure, with properties calculated at the GGA-PBE level.

Summary:
Spin magnetization   0.000 μB per atom

a = 4.443 Å, b = 4.443 Å, c = 4.443 Å
α = 60.00°, β = 60.00°, γ = 60.00°
Element x y z (fractional)
Sc (0.500, 0.500, 0.500)
Cu (0.750, 0.750, 0.750)
Os (0.250, 0.250, 0.250)
As (0.000, 0.000, 0.000)

x:
Below is a geometry-optimized ScCuAsOs structure, with properties calculated at the GGA-PBE level.

Summary:
Spin magnetization   0.006 μB per atom

a = 4.472 Å, b = 4.472 Å, c = 4.472 Å
α = 60.00°, β = 60.00°, γ = 60.00°
Element x y z (fractional)
Os (0.500, 0.500, 0.500)
As (0.000, 0.000, 0.000)
Sc (0.250, 0.250, 0.250)
Cu (0.750, 0.750, 0.750)

Result of the stability comparison: x is the least stable of them.

w:
Below is a geometry-optimized CuSiAsOs structure, with properties calculated at the GGA-PBE level.

Summary:
Spin magnetization   0.001 μB per atom

a = 4.340 Å, b = 4.340 Å, c = 4.340 Å
α = 60.00°, β = 60.00°, γ = 60.00°
Element x y z (fractional)
Os (0.000, 0.000, 0.000)
As (0.500, 0.500, 0.500)
Cu (0.750, 0.750, 0.750)
Si (0.250, 0.250, 0.250)

x:
Below is a geometry-optimized CuSiAsOs structure, with properties calculated at the GGA-PBE level.

Summary:
Spin magnetization   0.000 μB per atom

a = 4.296 Å, b = 4.296 Å, c = 4.296 Å
α = 60.00°, β = 60.00°, γ = 60.00°
Element x y z (fractional)
Cu (0.750, 0.750, 0.750)
Os (0.250, 0.250, 0.250)
As (0.000, 0.000, 0.000)
Si (0.500, 0.500, 0.500)

Result of the stability comparison: w is the least stable of them.